## Ni4Hg (PBE)

Data for crystalline Ni4Hg at its relaxed geometry.

The structure in POSCAR format:
```
Ni4Hg
1.0
-1.7365 1.7365 5.6918
1.7365 -1.7365 5.6918
1.7365 1.7365 -5.6918
Ni Hg
4 1
direct
0.1048 0.1048 0.0000
0.2500 0.7500 0.5000
0.7500 0.2500 0.5000
0.8952 0.8952 0.0000
0.5000 0.5000 0.0000
```

Properties
Its total magnetic moment is 0.469 μB/atom. For the volume, the calculation gives 69 Å³ per cell. The value obtained for the formation energy is 7.56 kcal/mol of atoms. Its relative energy among the computed polymorphs is 0 meV per atom.

## P2RhBr (PBE)

Data for crystalline P2RhBr at its relaxed geometry.

The structure in POSCAR format:
```
P2RhBr
1.0
-2.5272 2.5272 2.6077
2.5272 -2.5272 2.6077
2.5272 2.5272 -2.6077
P Rh Br
2 1 1
direct
0.0000 0.5000 0.5000
0.5000 0.0000 0.5000
0.0000 0.0000 0.0000
0.5000 0.5000 0.0000
```

Properties
Its total magnetic moment is 0.000 μB/atom. As for the raw formation energy: 0.325 eV/atom. For the volume, the calculation gives 67 Å³ per cell. Its relative energy among the computed polymorphs is 528 meV per atom.

## Na2TlPd2 (PBE)

Data for crystalline Na2TlPd2 at its relaxed geometry.

The structure in POSCAR format:
```
Na2TlPd2
1.0
5.0127 -2.8459 0.0000
5.0127 2.8459 0.0000
-2.1333 0.0000 8.0041
Na Tl Pd
4 2 4
direct
0.0085 0.2937 0.1497
0.2937 0.0085 0.6497
0.7063 0.9915 0.3503
0.9915 0.7063 0.8503
0.3402 0.6598 0.2500
0.6598 0.3402 0.7500
0.2264 0.5073 0.4970
0.4927 0.7736 0.0030
0.5073 0.2264 0.9970
0.7736 0.4927 0.5030
```

Properties
Its total magnetic moment is 0.000 μB/atom. For the volume, the calculation gives 228 Å³ per cell. The value obtained for the formation energy is -3.77 kcal/mol of atoms. Its relative energy among the computed polymorphs is 11 meV per atom.

## MgSi (PBE)

Data for crystalline MgSi at its relaxed geometry.

The structure in POSCAR format:
```
MgSi
1.0
4.8201 0.0000 0.0000
1.1945 5.0583 0.0000
2.0843 2.1274 9.7959
Mg Si
6 6
direct
0.0000 0.0000 0.0000
0.0265 0.4733 0.6783
0.1825 0.6687 0.3518
0.4668 0.0007 0.5069
0.5088 0.1829 0.1990
0.5833 0.0996 0.7903
0.1448 0.8889 0.7545
0.3862 0.5444 0.9251
0.5339 0.7397 0.0924
0.6533 0.4657 0.5119
0.9713 0.4226 0.1064
0.9717 0.2097 0.3499
```

Properties
Its total magnetic moment is 0.000 μB/atom. As for the raw formation energy: 0.052 eV/atom. For the volume, the calculation gives 239 Å³ per cell.

## Pr6Tm8Th (PBE)

Data for crystalline Pr6Tm8Th at its relaxed geometry.

The structure in POSCAR format:
```
Pr6Tm8Th
1.0
4.5234 2.6116 6.9997
-4.5234 2.6116 6.9997
0.0000 -5.2231 6.9997
Pr Tm Th
6 8 1
direct
0.0362 0.7321 0.5948
0.2679 0.4052 0.9638
0.4052 0.9638 0.2679
0.5948 0.0362 0.7321
0.7321 0.5948 0.0362
0.9638 0.2679 0.4052
0.0770 0.0770 0.0770
0.2078 0.2639 0.6146
0.2639 0.6146 0.2078
0.3854 0.7922 0.7361
0.6146 0.2078 0.2639
0.7361 0.3854 0.7922
0.7922 0.7361 0.3854
0.9230 0.9230 0.9230
0.5000 0.5000 0.5000
```

Properties
Its total magnetic moment is 0.000 μB/atom. For the volume, the calculation gives 496 Å³ per cell. The value obtained for the formation energy is 2.86 kcal/mol of atoms.

## YErCd5 (PBE)

Data for crystalline YErCd5 at its relaxed geometry.

The structure in POSCAR format:
```
YErCd5
1.0
5.1066 0.0000 0.0000
0.0000 5.1066 0.0000
0.0000 0.0000 6.9489
Y Er Cd
1 1 5
direct
0.0000 0.0000 0.0000
0.5000 0.5000 0.5000
0.0000 0.5000 0.2685
0.0000 0.5000 0.7315
0.5000 0.0000 0.2685
0.5000 0.0000 0.7315
0.5000 0.5000 0.0000
```

Properties
Its total magnetic moment is 0.000 μB/atom. For the volume, the calculation gives 181 Å³ per cell. The value obtained for the formation energy is -2.12 kcal/mol of atoms.